VASP calculation (meta-GGA SCAN) on a PBEsol-optimized structure of GeAuS2N.

Its uncorrected formation energy is 1.032 eV/atom. For the total energy, the calculation gives -111.63 eV per formula unit.

The structure belongs to space group P4/mmm (No. 123); the cell edges are 4.9577, 4.9577 and 3.7090 Å and the angles 90.00°, 90.00° and 90.00°. Symmetry generates all atoms from Ge at (0.0000, 0.0000, 0.0000), Au at (0.5000, 0.5000, 0.5000), S at (0.0000, 0.5000, 0.5000) and N at (0.5000, 0.5000, 0.0000).